# 1
A plane-wave DFT calculation with meta-GGA SCAN was carried out for a PBEsol-optimized structure of KScTl2.

Results
Uncorrected energy   -41.631 eV/atom
Space-group type   F-43m

abc: 5.383 5.383 5.383
angles: 60.00 60.00 60.00
Element x y z (fractional)
K: 0.000 0.000 0.000
Sc: 0.750 0.750 0.750
Tl: 0.250 0.250 0.250
Tl: 0.500 0.500 0.500

***

# 2
A plane-wave DFT calculation with meta-GGA SCAN was carried out for a PBEsol-optimized structure of KScW3.

Results
Uncorrected energy   -43.400 eV/atom
Space-group type   Pm-3m

abc: 4.777 4.777 4.777
angles: 90.00 90.00 90.00
Element x y z (fractional)
K: 0.000 0.000 0.000
Sc: 0.500 0.500 0.500
W: 0.000 0.500 0.500
W: 0.500 0.000 0.500
W: 0.500 0.500 0.000

***

# 3
A plane-wave DFT calculation with meta-GGA SCAN was carried out for a PBEsol-optimized structure of KSc2W.

Results
Uncorrected energy   -25.503 eV/atom
Space-group type   P4/mmm

abc: 5.332 5.332 3.043
angles: 90.00 90.00 90.00
Element x y z (fractional)
K: 0.000 0.000 0.000
Sc: 0.000 0.500 0.500
Sc: 0.500 0.000 0.500
W: 0.500 0.500 0.000

***

# 4
A plane-wave DFT calculation with meta-GGA SCAN was carried out for a PBEsol-optimized structure of KYSc2.

Results
Uncorrected energy   -15.452 eV/atom
Space-group type   Fm-3m

abc: 5.535 5.535 5.535
angles: 60.00 60.00 60.00
Element x y z (fractional)
K: 0.000 0.000 0.000
Y: 0.500 0.500 0.500
Sc: 0.250 0.250 0.250
Sc: 0.750 0.750 0.750

***

| no. | D(E_F) (states/eV per cell) |
| --- | --- |
| 1 | 3.57 |
| 2 | 7.59 |
| 3 | 5.20 |
| 4 | 6.80 |